Density functional theory data (PBE-GGA) for Tm6MgC3 after structural relaxation.

Unit cell a=3.5222 b=11.1415 c=11.1354 alpha=101.15 beta=90.00 gamma=90.00
Closest atoms and distances in Å follow each position.
Atoms (fractional coordinates):
Tm1 0.7500 0.5322 0.6349  4 C 2.46-2.67
Tm2 0.2500 0.4678 0.3651  4 C 2.46-2.67
Tm3 0.7500 0.9261 0.0958  3 C 2.40-2.56
Tm4 0.2500 0.0739 0.9042  3 C 2.40-2.56
Tm5 0.7500 0.3906 0.0512  3 C 2.43-2.51
Tm6 0.2500 0.6094 0.9488  3 C 2.43-2.51
Tm7 0.7500 0.6641 0.2402  3 C 2.38-2.43
Tm8 0.2500 0.3359 0.7598  3 C 2.38-2.43
Tm9 0.7500 0.2453 0.4837  2 C 2.38
Tm10 0.2500 0.7547 0.5163  2 C 2.38
Tm11 0.7500 0.8131 0.8063  2 C 2.38
Tm12 0.2500 0.1869 0.1937  2 C 2.38
Mg1 0.7500 0.0249 0.6322  6 Tm 3.22-3.51, 4 Mg 3.38-3.52
Mg2 0.2500 0.9751 0.3678  6 Tm 3.22-3.51, 4 Mg 3.38-3.52
C1 0.7500 0.4715 0.8557  6 Tm 2.43-2.67
C2 0.2500 0.5285 0.1443  6 Tm 2.43-2.67
C3 0.7500 0.6174 0.4394  6 Tm 2.38-2.54
C4 0.2500 0.3826 0.5606  6 Tm 2.38-2.54
C5 0.7500 0.1413 0.0476  5 Tm 2.38-2.56
C6 0.2500 0.8587 0.9524  5 Tm 2.38-2.56

## Properties
crystal system: monoclinic
total magnetic moment: 0.0 μB/cell
energy of formation: -0.22 eV per atom
energy: -58.3 eV/f.u.